## BaNi3Se4O12 (GGA+U)

Data for BaNi3Se4O12 after structural relaxation.

a = 11.3015 Å, b = 11.3015 Å, c = 7.7575 Å
α = 90.00°, β = 90.00°, γ = 120.00°
Closest atoms and distances in Å follow each position.
Space group R32 (No. 155, hexagonal axes)
One atom of each set of equivalent atoms:
Ba (0.0000, 0.0000, 0.0000) [3 per cell]  6 O 2.80
Ni (0.0000, 0.5667, 0.0000) [9 per cell]  6 O 2.04-2.11
Se (0.0000, 0.0000, 0.5000) [3 per cell]  3 O 1.85
Se (0.0000, 0.4408, 0.5000) [9 per cell]  3 O 1.79-1.89
O (0.0000, 0.6077, 0.5000) [9 per cell]  1 Se 1.89, 2 Ni 2.04
O (0.0000, 0.8361, 0.5000) [9 per cell]  1 Se 1.85
O (0.0570, 0.2387, 0.1784) [18 per cell]  1 Se 1.79

- E: -4.8587 eV/atom